[1]
# PBE-GGA Ac3Mg4Pb4, relaxed
# Crystal system: orthorhombic
# E above lowest polymorph (meV per atom): 0
# Calculated formation energy (kJ per mole of atoms): -36.0
data_Ac3Mg4Pb4
_space_group_name_H-M_alt 'I m m m'
_space_group_IT_number 71
_space_group_name_Hall '-I 2 2'
_cell_length_a 4.860
_cell_length_b 8.634
_cell_length_c 16.204
_cell_angle_alpha 90.00
_cell_angle_beta 90.00
_cell_angle_gamma 90.00
loop_
_atom_site_label
_atom_site_type_symbol
_atom_site_fract_x
_atom_site_fract_y
_atom_site_fract_z
_atom_site_occupancy
Ac1 Ac 0.000 0.000 0.000 1
Ac2 Ac 0.000 0.500 0.117 1
Mg1 Mg 0.000 0.310 0.325 1
Pb1 Pb 0.000 0.000 0.223 1
Pb2 Pb 0.000 0.212 0.500 1

[2]
# PBE-GGA RbU6S12, relaxed
# Crystal system: trigonal
# Formation energy (no corrections) (eV/atom): -1.274
data_RbU6S12
_space_group_name_H-M_alt 'R -3 m'
_space_group_IT_number 166
_space_group_name_Hall '-R 3 2"'
_cell_length_a 12.9354
_cell_length_b 12.9354
_cell_length_c 9.5574
_cell_angle_alpha 90.00
_cell_angle_beta 90.00
_cell_angle_gamma 120.00
loop_
_atom_site_label
_atom_site_type_symbol
_atom_site_fract_x
_atom_site_fract_y
_atom_site_fract_z
_atom_site_occupancy
Rb1 Rb 0.0000 0.0000 0.0000 1
U1 U 0.0640 0.5320 0.2787 1
S1 S 0.0000 0.3706 0.5000 1
S2 S 0.0860 0.1719 0.3521 1

[3]
# PBE-GGA YNi4Sb, relaxed
# Crystal system: cubic
# Formation energy (no corrections) (eV/atom): -0.328
data_YNi4Sb
_space_group_name_H-M_alt 'F -4 3 m'
_space_group_IT_number 216
_space_group_name_Hall 'F -4 2 3'
_cell_length_a 7.083
_cell_length_b 7.083
_cell_length_c 7.083
_cell_angle_alpha 90.00
_cell_angle_beta 90.00
_cell_angle_gamma 90.00
loop_
_atom_site_label
_atom_site_type_symbol
_atom_site_fract_x
_atom_site_fract_y
_atom_site_fract_z
_atom_site_occupancy
Y1 Y 0.000 0.000 0.000 1
Ni1 Ni 0.125 0.125 0.375 1
Sb1 Sb 0.250 0.250 0.750 1

[4]
# PBE-GGA Nd6Mg7, relaxed
# Crystal system: trigonal
# Calculated formation energy (kJ per mole of atoms): -5.5
data_Nd6Mg7
_space_group_name_H-M_alt 'R -3 m'
_space_group_IT_number 166
_space_group_name_Hall '-R 3 2"'
_cell_length_a 6.0963
_cell_length_b 6.0963
_cell_length_c 34.9677
_cell_angle_alpha 90.00
_cell_angle_beta 90.00
_cell_angle_gamma 120.00
loop_
_atom_site_label
_atom_site_type_symbol
_atom_site_fract_x
_atom_site_fract_y
_atom_site_fract_z
_atom_site_occupancy
Nd1 Nd 0.0000 0.0000 0.0478 1
Nd2 Nd 0.0000 0.0000 0.1527 1
Nd3 Nd 0.0000 0.0000 0.3350 1
Mg1 Mg 0.0000 0.0000 0.5000 1
Mg2 Mg 0.0027 0.5013 0.9063 1

| no. | volume (Å³ per cell) |
| --- | --- |
| 1 | 680 |
| 2 | 1385 |
| 3 | 355 |
| 4 | 1125 |